The following is a PBE calculation of a relaxed structure of PaTl4Te3O12, from the Alexandria database.

Unit cell a=7.341 b=7.341 c=7.341 alpha=109.47 beta=109.47 gamma=109.47
Fractional positions:
Pa (0.000, 0.000, 0.000)
Tl (0.000, 0.000, 0.500)
Tl (0.000, 0.500, 0.000)
Tl (0.500, 0.000, 0.000)
Tl (0.500, 0.500, 0.500)
Te (0.000, 0.500, 0.500)
Te (0.500, 0.000, 0.500)
Te (0.500, 0.500, 0.000)
O (0.000, 0.257, 0.257)
O (0.000, 0.743, 0.743)
O (0.250, 0.500, 0.750)
O (0.250, 0.750, 0.500)
O (0.257, 0.000, 0.257)
O (0.257, 0.257, 0.000)
O (0.500, 0.250, 0.750)
O (0.500, 0.750, 0.250)
O (0.743, 0.000, 0.743)
O (0.743, 0.743, 0.000)
O (0.750, 0.250, 0.500)
O (0.750, 0.500, 0.250)

Output
formation energy without anion corrections = -1285 meV/atom
calculated volume = 304.5 Å³/cell
uncorrected energy = -5.679 eV/atom